# Hf6Cu2N, optimized geometry, DFT PBE
data_Hf6Cu2N
_chemical_formula_sum 'Hf12 Cu4 N2'
_cell_length_a 5.692
_cell_length_b 6.254
_cell_length_c 10.483
_cell_angle_alpha 90.00
_cell_angle_beta 119.93
_cell_angle_gamma 90.00
_symmetry_space_group_name_H-M 'P 1 21/c 1'
_symmetry_Int_Tables_number 14
loop_
_symmetry_equiv_pos_as_xyz
'x,y,z'
'-x,-y,-z'
'-x,y+1/2,-z+1/2'
'x,-y+1/2,z+1/2'
loop_
_atom_site_label
_atom_site_type_symbol
_atom_site_fract_x
_atom_site_fract_y
_atom_site_fract_z
Hf1 Hf 0.104 0.022 0.242
Hf2 Hf 0.209 0.685 0.046
Hf3 Hf 0.371 0.192 0.045
Cu1 Cu 0.347 0.106 0.758
N1 N 0.000 0.000 0.000
# ΔE_f (raw)   -440 meV/atom
# DOS at the Fermi energy   0.705 states/eV per atom

=====

# RbAuBr2, optimized geometry, DFT PBE
data_RbAuBr2
_chemical_formula_sum 'Rb3 Au3 Br6'
_cell_length_a 4.5336
_cell_length_b 4.5336
_cell_length_c 26.8541
_cell_angle_alpha 90.00
_cell_angle_beta 90.00
_cell_angle_gamma 120.00
_symmetry_space_group_name_H-M 'R -3 m'
_symmetry_Int_Tables_number 166
_symmetry_space_group_name_Hall '-R 3 2"'
loop_
_atom_site_label
_atom_site_type_symbol
_atom_site_fract_x
_atom_site_fract_y
_atom_site_fract_z
Rb1 Rb 0.0000 0.0000 0.0000
Au1 Au 0.0000 0.0000 0.5000
Br1 Br 0.0000 0.0000 0.1158
# ΔE_f (raw)   -406 meV/atom
# DOS at the Fermi energy   0.038 states/eV per atom

=====

# ZrMo2Pt, optimized geometry, DFT PBE
data_ZrMo2Pt
_chemical_formula_sum 'Zr4 Mo8 Pt4'
_cell_length_a 6.498
_cell_length_b 6.498
_cell_length_c 6.498
_cell_angle_alpha 90.00
_cell_angle_beta 90.00
_cell_angle_gamma 90.00
_symmetry_space_group_name_H-M 'F -4 3 m'
_symmetry_Int_Tables_number 216
_symmetry_space_group_name_Hall 'F -4 2 3'
loop_
_atom_site_label
_atom_site_type_symbol
_atom_site_fract_x
_atom_site_fract_y
_atom_site_fract_z
Zr1 Zr 0.000 0.000 0.000
Mo1 Mo 0.000 0.000 0.500
Mo2 Mo 0.250 0.250 0.250
Pt1 Pt 0.250 0.250 0.750
# ΔH_f (0 K)   -0.175 eV/atom
# DOS at the Fermi energy   1.418 states/eV per atom